Record 1
{"formula": "CaDy2Ti", "functional": "PBE-GGA", "state": "relaxed", "cell": [[-2.039, 2.858, 0.453], [-2.878, -2.060, 0.044], [0.803, -0.920, 9.405]], "species": ["Ti", "Dy", "Dy", "Ca"], "fractional_positions": [[0.500, 0.500, 0.000], [0.000, 0.000, 0.800], [0.000, 0.000, 0.200], [0.500, 0.500, 0.500]], "crystal_system": "tetragonal", "sg": "P4/mmm (123)", "de_polymorph_kj_per_mol_atoms": 0.0, "e_form_ev_per_atom": 0.17}

---

Record 2
{"formula": "CsIn2GeI8", "functional": "PBE-GGA", "state": "relaxed", "cell": [[-2.699, 7.293, 0.116], [-4.281, -5.778, 2.961], [4.620, 1.555, 9.715]], "species": ["I", "I", "I", "I", "I", "I", "I", "I", "Ge", "In", "In", "Cs"], "fractional_positions": [[0.667, 0.333, 0.995], [0.680, 0.986, 0.333], [0.014, 0.694, 0.333], [0.986, 0.306, 0.667], [0.320, 0.014, 0.667], [0.306, 0.320, 0.333], [0.694, 0.680, 0.667], [0.333, 0.667, 0.005], [0.000, 0.000, 0.500], [0.667, 0.333, 0.253], [0.333, 0.667, 0.747], [0.000, 0.000, 0.000]], "crystal_system": "trigonal", "formation_energy_uncorrected_ev_per_atom": -0.57, "sg": "P-3 (147)"}

---

Density values, unit g/cm3, following the record order: 5.8; 4.2.